# 1
Computed, not measured: a relaxed structure of TaOs3Rh at the PBE level of DFT.

Geometry as CIF:
```
data_TaOs3Rh
_cell_length_a 4.604
_cell_length_b 4.604
_cell_length_c 4.604
_cell_angle_alpha 90.00
_cell_angle_beta 90.00
_cell_angle_gamma 90.00
_symmetry_space_group_name_H-M 'P m -3 m'
_symmetry_Int_Tables_number 221
_symmetry_space_group_name_Hall '-P 4 2 3'
loop_
_atom_site_label
_atom_site_type_symbol
_atom_site_fract_x
_atom_site_fract_y
_atom_site_fract_z
Ta1 Ta 0.000 0.000 0.000
Os1 Os 0.000 0.500 0.500
Rh1 Rh 0.500 0.500 0.500
```

Values from the calculation:
ΔH_f (0 K) (eV per atom): 2.299
Energy above the lowest structure with this stoichiometry (eV/atom): 1.1007
Fermi-level density of states (states/eV/atom): 1.749



# 2
Computed, not measured: a relaxed structure of Ho3ScPd12 at the PBE level of DFT.

Geometry as CIF:
```
data_Ho3ScPd12
_cell_length_a 4.087
_cell_length_b 4.087
_cell_length_c 16.365
_cell_angle_alpha 90.00
_cell_angle_beta 90.00
_cell_angle_gamma 90.00
_symmetry_space_group_name_H-M 'P 4/m m m'
_symmetry_Int_Tables_number 123
_symmetry_space_group_name_Hall '-P 4 2'
loop_
_atom_site_label
_atom_site_type_symbol
_atom_site_fract_x
_atom_site_fract_y
_atom_site_fract_z
Ho1 Ho 0.000 0.000 0.000
Ho2 Ho 0.000 0.000 0.253
Sc1 Sc 0.000 0.000 0.500
Pd1 Pd 0.000 0.500 0.127
Pd2 Pd 0.000 0.500 0.381
Pd3 Pd 0.500 0.500 0.000
Pd4 Pd 0.500 0.500 0.254
Pd5 Pd 0.500 0.500 0.500
```

Values from the calculation:
ΔH_f (0 K) (eV per atom): -0.875
Fermi-level density of states (states/eV/atom): 0.812



# 3
Computed, not measured: a relaxed structure of KIn5Cu2 at the PBE level of DFT.

Geometry as CIF:
```
data_KIn5Cu2
_cell_length_a 4.461
_cell_length_b 7.930
_cell_length_c 11.197
_cell_angle_alpha 90.00
_cell_angle_beta 90.00
_cell_angle_gamma 90.00
_symmetry_space_group_name_H-M 'I m m m'
_symmetry_Int_Tables_number 71
_symmetry_space_group_name_Hall '-I 2 2'
loop_
_atom_site_label
_atom_site_type_symbol
_atom_site_fract_x
_atom_site_fract_y
_atom_site_fract_z
K1 K 0.000 0.000 0.000
In1 In 0.000 0.198 0.346
In2 In 0.000 0.500 0.000
Cu1 Cu 0.000 0.500 0.235
```

Values from the calculation:
ΔH_f (0 K) (eV per atom): -0.046
Fermi-level density of states (states/eV/atom): 0.366



# 4
Computed, not measured: a relaxed structure of LuZnInRu at the PBE level of DFT.

Geometry as CIF:
```
data_LuZnInRu
_cell_length_a 6.664
_cell_length_b 6.664
_cell_length_c 6.664
_cell_angle_alpha 90.00
_cell_angle_beta 90.00
_cell_angle_gamma 90.00
_symmetry_space_group_name_H-M 'F -4 3 m'
_symmetry_Int_Tables_number 216
_symmetry_space_group_name_Hall 'F -4 2 3'
loop_
_atom_site_label
_atom_site_type_symbol
_atom_site_fract_x
_atom_site_fract_y
_atom_site_fract_z
Lu1 Lu 0.000 0.000 0.000
Zn1 Zn 0.250 0.250 0.250
In1 In 0.000 0.000 0.500
Ru1 Ru 0.250 0.250 0.750
```

Values from the calculation:
ΔH_f (0 K) (eV per atom): -0.189
Fermi-level density of states (states/eV/atom): 0.736



# 5
Computed, not measured: a relaxed structure of Ac6Cd2Pb3 at the PBE level of DFT.

Geometry as CIF:
```
data_Ac6Cd2Pb3
_cell_length_a 6.258
_cell_length_b 6.258
_cell_length_c 23.428
_cell_angle_alpha 90.00
_cell_angle_beta 90.00
_cell_angle_gamma 90.00
_symmetry_space_group_name_H-M 'I 4/m m m'
_symmetry_Int_Tables_number 139
_symmetry_space_group_name_Hall '-I 4 2'
loop_
_atom_site_label
_atom_site_type_symbol
_atom_site_fract_x
_atom_site_fract_y
_atom_site_fract_z
Ac1 Ac 0.000 0.000 0.203
Ac2 Ac 0.000 0.500 0.086
Cd1 Cd 0.000 0.000 0.058
Pb1 Pb 0.000 0.000 0.344
Pb2 Pb 0.000 0.000 0.500
```

Values from the calculation:
ΔH_f (0 K) (eV per atom): -0.083
Fermi-level density of states (states/eV/atom): 1.303



# 6
Computed, not measured: a relaxed structure of NdMg2GaAu2 at the PBE level of DFT.

Geometry as CIF:
```
data_NdMg2GaAu2
_cell_length_a 4.504
_cell_length_b 4.504
_cell_length_c 17.317
_cell_angle_alpha 90.00
_cell_angle_beta 90.00
_cell_angle_gamma 90.00
_symmetry_space_group_name_H-M 'I 4/m m m'
_symmetry_Int_Tables_number 139
_symmetry_space_group_name_Hall '-I 4 2'
loop_
_atom_site_label
_atom_site_type_symbol
_atom_site_fract_x
_atom_site_fract_y
_atom_site_fract_z
Nd1 Nd 0.000 0.000 0.000
Mg1 Mg 0.000 0.500 0.250
Ga1 Ga 0.000 0.000 0.500
Au1 Au 0.000 0.000 0.167
```

Values from the calculation:
ΔH_f (0 K) (eV per atom): -0.067
Fermi-level density of states (states/eV/atom): 0.867